Compound: TaNbSbI2
Source: Alexandria
Functional: PBEsol
Structure: relaxed

Summary:
Total energy: -5.075 eV per atom
Energy relative to the lowest polymorph listed for this composition: 0 meV/atom
Formation energy from raw total energies: 1218 meV per atom

Cell lengths 5.3339, 5.3339, 5.4281 Å; angles 90.00, 90.00, 90.00 degrees
Last column: nearest neighbours and their distance in Å.
Space group P4/mmm (No. 123)
Unique sites:
Ta 0.0000 0.0000 0.0000  4 I 2.67, 2 Sb 2.71
Nb 0.5000 0.5000 0.5000  4 Sb 3.77, 8 I 3.81
Sb 0.0000 0.0000 0.5000  2 Ta 2.71
I 0.0000 0.5000 0.0000  2 Ta 2.67